Pm3Ho2Ru2: optimized geometry, PBE-GGA.

As for the energy of formation: -0.261 eV per atom. The total energy is -6.255 eV per atom.

It has space group C2/m (No. 12), with a = 12.127 Å, b = 3.946 Å, c = 8.539 Å, α = 90.00°, β = 112.96° and γ = 90.00°. The asymmetric unit holds Pm at (0.000, 0.000, 0.000), Pm at (0.120, 0.000, 0.429), Ho at (0.169, 0.500, 0.817) and Ru at (0.183, 0.500, 0.220).

Pm12HoRu7: optimized geometry, PBE-GGA.

As for the energy of formation: -0.138 eV per atom. The total energy is -6.464 eV per atom.

It has space group R-3 (No. 148, hexagonal axes), with a = 14.8333 Å, b = 14.8333 Å, c = 8.9078 Å, α = 90.00°, β = 90.00° and γ = 120.00°. The asymmetric unit holds Pm at (0.0103, 0.4320, 0.3274), Pm at (0.0428, 0.1658, 0.2921), Ho at (0.0000, 0.0000, 0.0000), Ru at (0.0000, 0.0000, 0.5000) and Ru at (0.0452, 0.1929, 0.9049).

Pm3HoRu2: optimized geometry, PBE-GGA.

As for the energy of formation: -0.158 eV per atom. The total energy is -6.389 eV per atom.

It has space group Ibam (No. 72), with a = 6.815 Å, b = 13.713 Å, c = 7.202 Å, α = 90.00°, β = 90.00° and γ = 90.00°. The asymmetric unit holds Pm at (0.000, 0.000, 0.250), Pm at (0.000, 0.267, 0.250), Ho at (0.000, 0.500, 0.000) and Ru at (0.226, 0.134, 0.000).

PmHo2Ru: optimized geometry, PBE-GGA.

The excess energy over the best structure of this formula in the dataset comes out at 0 meV per atom. As for the energy of formation: -0.298 eV per atom. The total energy is -6.093 eV per atom.

It has space group Pnma (No. 62), with a = 7.324 Å, b = 9.226 Å, c = 6.379 Å, α = 90.00°, β = 90.00° and γ = 90.00°. The asymmetric unit holds Pm at (0.040, 0.250, 0.132), Ho at (0.176, 0.066, 0.667) and Ru at (0.114, 0.750, 0.451).

PmHo2Ru: optimized geometry, PBE-GGA.

The excess energy over the best structure of this formula in the dataset comes out at 15 meV per atom. As for the energy of formation: -0.283 eV per atom. The total energy is -6.078 eV per atom.

It has space group Cmcm (No. 63), with a = 3.905 Å, b = 12.104 Å, c = 9.151 Å, α = 90.00°, β = 90.00° and γ = 90.00°. The asymmetric unit holds Pm at (0.000, 0.074, 0.250), Ho at (0.000, 0.355, 0.069) and Ru at (0.000, 0.255, 0.750).

PmHo2Ru: optimized geometry, PBE-GGA.

The excess energy over the best structure of this formula in the dataset comes out at 380 meV per atom. As for the energy of formation: 0.082 eV per atom. The total energy is -5.713 eV per atom.

It has space group R-3m (No. 166, hexagonal axes), with a = 3.5018 Å, b = 3.5018 Å, c = 32.3497 Å, α = 90.00°, β = 90.00° and γ = 120.00°. The asymmetric unit holds Pm at (0.0000, 0.0000, 0.0000), Ho at (0.0000, 0.0000, 0.1084) and Ru at (0.0000, 0.0000, 0.5000).

PmHo3Ru4: optimized geometry, PBE-GGA.

As for the energy of formation: -0.287 eV per atom. The total energy is -7.235 eV per atom.

It has space group P4/mmm (No. 123), with a = 4.814 Å, b = 4.814 Å, c = 6.835 Å, α = 90.00°, β = 90.00° and γ = 90.00°. The asymmetric unit holds Pm at (0.000, 0.000, 0.000), Ho at (0.000, 0.000, 0.500), Ho at (0.500, 0.500, 0.000), Ho at (0.500, 0.500, 0.500) and Ru at (0.000, 0.500, 0.254).

Pm5Ho2Ru4: optimized geometry, PBE-GGA.

As for the energy of formation: -0.131 eV per atom. The total energy is -6.495 eV per atom.

It has space group C2/m (No. 12), with a = 24.945 Å, b = 4.690 Å, c = 4.918 Å, α = 90.00°, β = 96.09° and γ = 90.00°. The asymmetric unit holds Pm at (0.000, 0.000, 0.000), Pm at (0.115, 0.000, 0.682), Pm at (0.245, 0.500, 0.247), Ho at (0.104, 0.500, 0.192), Ru at (0.042, 0.500, 0.675) and Ru at (0.179, 0.000, 0.217).

PmHoRu: optimized geometry, PBE-GGA.

The excess energy over the best structure of this formula in the dataset comes out at 94 meV per atom. As for the energy of formation: -0.179 eV per atom. The total energy is -6.380 eV per atom.

It has space group Cmcm (No. 63), with a = 3.528 Å, b = 15.994 Å, c = 5.292 Å, α = 90.00°, β = 90.00° and γ = 90.00°. The asymmetric unit holds Pm at (0.000, 0.072, 0.250), Ho at (0.000, 0.211, 0.750) and Ru at (0.000, 0.423, 0.250).

PmHo2Ru2: optimized geometry, PBE-GGA.

The excess energy over the best structure of this formula in the dataset comes out at 0 meV per atom. As for the energy of formation: -0.251 eV per atom. The total energy is -6.743 eV per atom.

It has space group Cmmm (No. 65), with a = 3.416 Å, b = 20.622 Å, c = 3.401 Å, α = 90.00°, β = 90.00° and γ = 90.00°. The asymmetric unit holds Pm at (0.000, 0.000, 0.000), Ho at (0.000, 0.166, 0.000) and Ru at (0.000, 0.408, 0.500).

PmHo4Ru2: optimized geometry, PBE-GGA.

As for the energy of formation: -0.255 eV per atom. The total energy is -6.200 eV per atom.

It has space group P2_1/m (No. 11), with a = 7.717 Å, b = 6.379 Å, c = 7.955 Å, α = 90.00°, β = 112.66° and γ = 90.00°. The asymmetric unit holds Pm at (0.021, 0.250, 0.164), Ho at (0.244, 0.501, 0.584), Ho at (0.325, 0.750, 0.252), Ho at (0.381, 0.250, 0.019), Ru at (0.023, 0.250, 0.737) and Ru at (0.415, 0.250, 0.373).

PmHoRu: optimized geometry, PBE-GGA.

The excess energy over the best structure of this formula in the dataset comes out at 44 meV per atom. As for the energy of formation: -0.229 eV per atom. The total energy is -6.430 eV per atom.

It has space group F-43m (No. 216), with a = 6.824 Å, b = 6.824 Å, c = 6.824 Å, α = 90.00°, β = 90.00° and γ = 90.00°. The asymmetric unit holds Pm at (0.000, 0.000, 0.000), Ho at (0.000, 0.000, 0.500) and Ru at (0.250, 0.250, 0.250).